Record 1
VASP calculation (PBE) on Ni3SbP after structural relaxation.

The structure in CIF format:
```
data_Ni3SbP
_chemical_formula_sum 'Ni3 Sb1 P1'
_cell_length_a 4.616
_cell_length_b 4.616
_cell_length_c 4.616
_cell_angle_alpha 90.00
_cell_angle_beta 90.00
_cell_angle_gamma 90.00
_space_group_name_H-M_alt 'P m -3 m'
_space_group_IT_number 221
_space_group_name_Hall '-P 4 2 3'
loop_
_atom_site_label
_atom_site_type_symbol
_atom_site_fract_x
_atom_site_fract_y
_atom_site_fract_z
_atom_site_occupancy
Ni1 Ni 0.000 0.000 0.500 1
Sb1 Sb 0.000 0.000 0.000 1
P1 P 0.500 0.500 0.500 1
```

Computed properties:
Relative energy among the computed polymorphs = 1133 meV/atom
Total magnetic moment = 0.0 Bohr magnetons per cell
Formation energy without anion corrections = 1.1075 eV per atom
Calculated volume = 98.4 Å³ per cell

---

Record 2
VASP calculation (PBE) on NiSb4P after structural relaxation.

The structure in CIF format:
```
data_NiSb4P
_chemical_formula_sum 'Ni4 Sb16 P4'
_cell_length_a 8.549
_cell_length_b 8.549
_cell_length_c 8.549
_cell_angle_alpha 90.00
_cell_angle_beta 90.00
_cell_angle_gamma 90.00
_space_group_name_H-M_alt 'F -4 3 m'
_space_group_IT_number 216
_space_group_name_Hall 'F -4 2 3'
loop_
_atom_site_label
_atom_site_type_symbol
_atom_site_fract_x
_atom_site_fract_y
_atom_site_fract_z
_atom_site_occupancy
Ni1 Ni 0.000 0.000 0.000 1
Sb1 Sb 0.125 0.125 0.375 1
P1 P 0.250 0.250 0.750 1
```

Computed properties:
Total magnetic moment = 2.9 Bohr magnetons per cell
Formation energy without anion corrections = 0.9840 eV per atom
Calculated volume = 624.9 Å³ per cell

---

Record 3
VASP calculation (PBE) on Ni2SbP2 after structural relaxation.

The structure in CIF format:
```
data_Ni2SbP2
_chemical_formula_sum 'Ni4 Sb2 P4'
_cell_length_a 3.910
_cell_length_b 3.910
_cell_length_c 9.765
_cell_angle_alpha 90.00
_cell_angle_beta 90.00
_cell_angle_gamma 90.00
_space_group_name_H-M_alt 'P 4/n m m'
_space_group_IT_number 129
loop_
_space_group_symop_operation_xyz
'x,y,z'
'-x,-y,-z'
'-y+1/2,x,z'
'y+1/2,-x,-z'
'-x+1/2,-y+1/2,z'
'x+1/2,y+1/2,-z'
'y,-x+1/2,z'
'-y,x+1/2,-z'
'x+1/2,-y,-z'
'-x+1/2,y,z'
'-y,-x,-z'
'y,x,z'
'-x,y+1/2,-z'
'x,-y+1/2,z'
'y+1/2,x+1/2,-z'
'-y+1/2,-x+1/2,z'
loop_
_atom_site_label
_atom_site_type_symbol
_atom_site_fract_x
_atom_site_fract_y
_atom_site_fract_z
_atom_site_occupancy
Ni1 Ni 0.250 0.250 0.131 1
Ni2 Ni 0.250 0.750 0.500 1
Sb1 Sb 0.250 0.250 0.724 1
P1 P 0.250 0.250 0.365 1
P2 P 0.250 0.750 0.000 1
```

Computed properties:
Relative energy among the computed polymorphs = 0 meV/atom
Total magnetic moment = 0.0 Bohr magnetons per cell
Formation energy without anion corrections = -0.1319 eV per atom
Calculated volume = 149.3 Å³ per cell

---

Record 4
VASP calculation (PBE) on NiSb2P2 after structural relaxation.

The structure in CIF format:
```
data_NiSb2P2
_chemical_formula_sum 'Ni2 Sb4 P4'
_cell_length_a 5.318
_cell_length_b 5.318
_cell_length_c 7.529
_cell_angle_alpha 90.00
_cell_angle_beta 90.00
_cell_angle_gamma 90.00
_space_group_name_H-M_alt 'P 4/n m m'
_space_group_IT_number 129
loop_
_space_group_symop_operation_xyz
'x,y,z'
'-x,-y,-z'
'-y+1/2,x,z'
'y+1/2,-x,-z'
'-x+1/2,-y+1/2,z'
'x+1/2,y+1/2,-z'
'y,-x+1/2,z'
'-y,x+1/2,-z'
'x+1/2,-y,-z'
'-x+1/2,y,z'
'-y,-x,-z'
'y,x,z'
'-x,y+1/2,-z'
'x,-y+1/2,z'
'y+1/2,x+1/2,-z'
'-y+1/2,-x+1/2,z'
loop_
_atom_site_label
_atom_site_type_symbol
_atom_site_fract_x
_atom_site_fract_y
_atom_site_fract_z
_atom_site_occupancy
Ni1 Ni 0.250 0.250 0.200 1
Sb1 Sb 0.250 0.250 0.545 1
Sb2 Sb 0.250 0.750 0.000 1
P1 P 0.250 0.250 0.914 1
P2 P 0.250 0.750 0.500 1
```

Computed properties:
Relative energy among the computed polymorphs = 138 meV/atom
Total magnetic moment = 0.0 Bohr magnetons per cell
Formation energy without anion corrections = 0.4193 eV per atom
Calculated volume = 212.9 Å³ per cell

---

Record 5
VASP calculation (PBE) on Ni8SbP2 after structural relaxation.

The structure in CIF format:
```
data_Ni8SbP2
_chemical_formula_sum 'Ni16 Sb2 P4'
_cell_length_a 6.753
_cell_length_b 10.034
_cell_length_c 4.117
_cell_angle_alpha 90.00
_cell_angle_beta 106.41
_cell_angle_gamma 90.00
_space_group_name_H-M_alt 'C 1 2/m 1'
_space_group_IT_number 12
_space_group_name_Hall '-C 2y'
loop_
_atom_site_label
_atom_site_type_symbol
_atom_site_fract_x
_atom_site_fract_y
_atom_site_fract_z
_atom_site_occupancy
Ni1 Ni 0.000 0.249 0.000 1
Ni2 Ni 0.106 0.500 0.811 1
Ni3 Ni 0.198 0.130 0.590 1
Sb1 Sb 0.000 0.000 0.000 1
P1 P 0.000 0.319 0.500 1
```

Computed properties:
Total magnetic moment = 0.0 Bohr magnetons per cell
Formation energy without anion corrections = -0.3456 eV per atom
Calculated volume = 267.6 Å³ per cell

---

Record 6
VASP calculation (PBE) on Ni4SbP after structural relaxation.

The structure in CIF format:
```
data_Ni4SbP
_chemical_formula_sum 'Ni16 Sb4 P4'
_cell_length_a 6.843
_cell_length_b 6.843
_cell_length_c 6.843
_cell_angle_alpha 90.00
_cell_angle_beta 90.00
_cell_angle_gamma 90.00
_space_group_name_H-M_alt 'F -4 3 m'
_space_group_IT_number 216
_space_group_name_Hall 'F -4 2 3'
loop_
_atom_site_label
_atom_site_type_symbol
_atom_site_fract_x
_atom_site_fract_y
_atom_site_fract_z
_atom_site_occupancy
Ni1 Ni 0.125 0.125 0.125 1
Sb1 Sb 0.000 0.000 0.500 1
P1 P 0.250 0.250 0.750 1
```

Computed properties:
Relative energy among the computed polymorphs = 352 meV/atom
Total magnetic moment = 6.3 Bohr magnetons per cell
Formation energy without anion corrections = 0.1923 eV per atom
Calculated volume = 320.5 Å³ per cell

---

Record 7
VASP calculation (PBE) on NiSb3P after structural relaxation.

The structure in CIF format:
```
data_NiSb3P
_chemical_formula_sum 'Ni1 Sb3 P1'
_cell_length_a 5.103
_cell_length_b 5.103
_cell_length_c 5.103
_cell_angle_alpha 90.00
_cell_angle_beta 90.00
_cell_angle_gamma 90.00
_space_group_name_H-M_alt 'P m -3 m'
_space_group_IT_number 221
_space_group_name_Hall '-P 4 2 3'
loop_
_atom_site_label
_atom_site_type_symbol
_atom_site_fract_x
_atom_site_fract_y
_atom_site_fract_z
_atom_site_occupancy
Ni1 Ni 0.000 0.000 0.000 1
Sb1 Sb 0.000 0.500 0.500 1
P1 P 0.500 0.500 0.500 1
```

Computed properties:
Relative energy among the computed polymorphs = 434 meV/atom
Total magnetic moment = 0.0 Bohr magnetons per cell
Formation energy without anion corrections = 0.9792 eV per atom
Calculated volume = 132.9 Å³ per cell

---

Record 8
VASP calculation (PBE) on NiSb3P after structural relaxation.

The structure in CIF format:
```
data_NiSb3P
_chemical_formula_sum 'Ni1 Sb3 P1'
_cell_length_a 4.944
_cell_length_b 4.944
_cell_length_c 4.944
_cell_angle_alpha 90.00
_cell_angle_beta 90.00
_cell_angle_gamma 90.00
_space_group_name_H-M_alt 'P m -3 m'
_space_group_IT_number 221
_space_group_name_Hall '-P 4 2 3'
loop_
_atom_site_label
_atom_site_type_symbol
_atom_site_fract_x
_atom_site_fract_y
_atom_site_fract_z
_atom_site_occupancy
Ni1 Ni 0.000 0.000 0.000 1
Sb1 Sb 0.000 0.000 0.500 1
P1 P 0.500 0.500 0.500 1
```

Computed properties:
Relative energy among the computed polymorphs = 0 meV/atom
Total magnetic moment = 0.0 Bohr magnetons per cell
Formation energy without anion corrections = 0.5447 eV per atom
Calculated volume = 120.9 Å³ per cell

---

Record 9
VASP calculation (PBE) on Ni4SbP after structural relaxation.

The structure in CIF format:
```
data_Ni4SbP
_chemical_formula_sum 'Ni16 Sb4 P4'
_cell_length_a 6.540
_cell_length_b 9.149
_cell_length_c 5.442
_cell_angle_alpha 90.00
_cell_angle_beta 104.89
_cell_angle_gamma 90.00
_space_group_name_H-M_alt 'C 1 2/c 1'
_space_group_IT_number 15
_space_group_name_Hall '-C 2yc'
loop_
_atom_site_label
_atom_site_type_symbol
_atom_site_fract_x
_atom_site_fract_y
_atom_site_fract_z
_atom_site_occupancy
Ni1 Ni 0.113 0.174 0.092 1
Ni2 Ni 0.223 0.387 0.393 1
Sb1 Sb 0.000 0.378 0.750 1
P1 P 0.000 0.028 0.750 1
```

Computed properties:
Relative energy among the computed polymorphs = 0 meV/atom
Total magnetic moment = 0.0 Bohr magnetons per cell
Formation energy without anion corrections = -0.1599 eV per atom
Calculated volume = 314.7 Å³ per cell

---

Record 10
VASP calculation (PBE) on Ni2SbP2 after structural relaxation.

The structure in CIF format:
```
data_Ni2SbP2
_chemical_formula_sum 'Ni4 Sb2 P4'
_cell_length_a 3.703
_cell_length_b 3.703
_cell_length_c 10.926
_cell_angle_alpha 90.00
_cell_angle_beta 90.00
_cell_angle_gamma 90.00
_space_group_name_H-M_alt 'I 4/m m m'
_space_group_IT_number 139
_space_group_name_Hall '-I 4 2'
loop_
_atom_site_label
_atom_site_type_symbol
_atom_site_fract_x
_atom_site_fract_y
_atom_site_fract_z
_atom_site_occupancy
Ni1 Ni 0.000 0.000 0.121 1
Sb1 Sb 0.000 0.000 0.500 1
P1 P 0.000 0.500 0.250 1
```

Computed properties:
Relative energy among the computed polymorphs = 83 meV/atom
Total magnetic moment = 0.0 Bohr magnetons per cell
Formation energy without anion corrections = -0.0484 eV per atom
Calculated volume = 149.8 Å³ per cell

---

Record 11
VASP calculation (PBE) on Ni7SbP2 after structural relaxation.

The structure in CIF format:
```
data_Ni7SbP2
_chemical_formula_sum 'Ni14 Sb2 P4'
_cell_length_a 3.723
_cell_length_b 3.723
_cell_length_c 17.890
_cell_angle_alpha 90.00
_cell_angle_beta 90.00
_cell_angle_gamma 90.00
_space_group_name_H-M_alt 'I 4/m m m'
_space_group_IT_number 139
_space_group_name_Hall '-I 4 2'
loop_
_atom_site_label
_atom_site_type_symbol
_atom_site_fract_x
_atom_site_fract_y
_atom_site_fract_z
_atom_site_occupancy
Ni1 Ni 0.000 0.000 0.000 1
Ni2 Ni 0.000 0.500 0.106 1
Ni3 Ni 0.000 0.500 0.250 1
Sb1 Sb 0.000 0.000 0.500 1
P1 P 0.000 0.000 0.176 1
```

Computed properties:
Total magnetic moment = 0.0 Bohr magnetons per cell
Formation energy without anion corrections = -0.3884 eV per atom
Calculated volume = 248.0 Å³ per cell

---

Record 12
VASP calculation (PBE) on Ni6Sb2P after structural relaxation.

The structure in CIF format:
```
data_Ni6Sb2P
_chemical_formula_sum 'Ni6 Sb2 P1'
_cell_length_a 6.4301
_cell_length_b 6.4301
_cell_length_c 3.4585
_cell_angle_alpha 90.00
_cell_angle_beta 90.00
_cell_angle_gamma 120.00
_space_group_name_H-M_alt 'P -6 2 m'
_space_group_IT_number 189
_space_group_name_Hall 'P -6 -2'
loop_
_atom_site_label
_atom_site_type_symbol
_atom_site_fract_x
_atom_site_fract_y
_atom_site_fract_z
_atom_site_occupancy
Ni1 Ni 0.0000 0.3555 0.0000 1
Ni2 Ni 0.0000 0.7673 0.5000 1
Sb1 Sb 0.3333 0.6667 0.5000 1
P1 P 0.0000 0.0000 0.0000 1
```

Computed properties:
Total magnetic moment = 0.0 Bohr magnetons per cell
Formation energy without anion corrections = -0.2233 eV per atom
Calculated volume = 123.8 Å³ per cell